Density functional theory data (GGA-PBEsol) for ZnCuBr2 after structural relaxation.

Results
Uncorrected formation energy   0.01 eV/atom
Crystal system   monoclinic
Excess energy over the best structure of this formula in the dataset   0.202 eV per atom
E   -9.61 eV/f.u.
Magnetic moment   0.00 μB per cell
Symmetry   C2/m

```
ZnCuBr2
1.0
3.7980 0.0881 0.0992
1.7261 4.8848 0.0119
1.7261 -0.5639 4.8522
Br Cu Zn
2 1 1
Direct
0.0000 0.0000 0.5000 Br
0.0000 0.5000 0.0000 Br
0.0000 0.5000 0.5000 Cu
0.0000 0.0000 0.0000 Zn
```

---

Density functional theory data (GGA-PBEsol) for ZnCuBr2 after structural relaxation.

Results
Uncorrected formation energy   -0.19 eV/atom
Crystal system   orthorhombic
Excess energy over the best structure of this formula in the dataset   0.000 eV per atom
E   -10.42 eV/f.u.
Magnetic moment   0.00 μB per cell
Symmetry   Amm2

```
ZnCuBr2
1.0
3.5410 0.0000 0.0000
0.0000 4.6048 0.1172
-1.7705 -0.1442 5.6255
Br Cu Zn
2 1 1
Direct
0.3179 0.2498 0.6358 Br
0.0563 0.7496 0.1126 Br
0.3917 0.7498 0.7833 Cu
0.7341 0.7507 0.4683 Zn
```

---

Density functional theory data (GGA-PBEsol) for Zr2ZnCuBr after structural relaxation.

Results
Uncorrected formation energy   0.56 eV/atom
Crystal system   tetragonal
E   -23.15 eV/f.u.
Magnetic moment   0.00 μB per cell
Symmetry   P4/mmm

```
Zr2ZnCuBr
1.0
4.3961 0.0000 0.0000
0.0000 4.9151 0.0000
0.0000 0.0000 4.9151
Br Zn Zr Cu
1 1 2 1
Direct
0.0000 0.0000 0.0000 Br
0.5000 0.5000 0.5000 Zn
0.0000 0.0000 0.5000 Zr
0.0000 0.5000 0.0000 Zr
0.5000 0.0000 0.0000 Cu
```

---

Density functional theory data (GGA-PBEsol) for ZrCuBr2 after structural relaxation.

Results
Uncorrected formation energy   -0.17 eV/atom
Crystal system   monoclinic
Excess energy over the best structure of this formula in the dataset   0.000 eV per atom
E   -17.86 eV/f.u.
Magnetic moment   0.00 μB per cell
Symmetry   P2/m

```
ZrCuBr2
1.0
3.2963 0.0000 0.0000
0.0000 4.6301 -0.0337
0.0000 -2.0618 5.0236
Br Zr Cu
2 1 1
Direct
0.5000 0.5000 0.5000 Br
0.0000 0.0000 0.0000 Br
0.0000 0.0000 0.5000 Zr
0.5000 0.5000 0.0000 Cu
```

---

Density functional theory data (GGA-PBEsol) for ZrCuBr2 after structural relaxation.

Results
Uncorrected formation energy   0.19 eV/atom
Crystal system   cubic
Excess energy over the best structure of this formula in the dataset   0.365 eV per atom
E   -16.40 eV/f.u.
Magnetic moment   0.86 μB per cell
Symmetry   F-43m

```
ZrCuBr2
1.0
4.8414 0.0000 0.0000
2.4207 4.1928 0.0000
2.4207 1.3976 3.9530
Br Cu Zr
2 1 1
Direct
0.7500 0.7500 0.7500 Br
0.0000 0.0000 0.0000 Br
0.5000 0.5000 0.5000 Cu
0.2500 0.2500 0.2500 Zr
```

---

Density functional theory data (GGA-PBEsol) for Zr3CuBr after structural relaxation.

Results
Uncorrected formation energy   0.61 eV/atom
Crystal system   cubic
E   -30.40 eV/f.u.
Magnetic moment   0.00 μB per cell
Symmetry   Pm-3m

```
Zr3CuBr
1.0
-3.4840 -0.7661 -3.3164
3.3699 -0.1088 -3.5151
0.4788 -4.8088 0.6079
Zr Cu Br
3 1 1
Direct
0.0000 0.5000 0.0000 Zr
0.0000 0.0000 0.5000 Zr
0.5000 0.0000 0.0000 Zr
0.5000 0.5000 0.5000 Cu
0.0000 0.0000 0.0000 Br
```

---

Density functional theory data (GGA-PBEsol) for ZrCuBr2 after structural relaxation.

Results
Uncorrected formation energy   -0.04 eV/atom
Crystal system   orthorhombic
Excess energy over the best structure of this formula in the dataset   0.139 eV per atom
E   -17.30 eV/f.u.
Magnetic moment   0.01 μB per cell
Symmetry   Cmmm

```
ZrCuBr2
1.0
-3.2172 -0.4006 -0.7764
0.4651 -4.6771 0.4858
-1.1890 0.8334 4.4967
Br Zr Cu
2 1 1
Direct
0.0000 0.0000 0.5000 Br
0.0000 0.5000 0.0000 Br
0.5000 0.5000 0.5000 Zr
0.5000 0.0000 0.0000 Cu
```

---

Density functional theory data (GGA-PBEsol) for Rb2LiDyBr6 after structural relaxation.

Results
Uncorrected formation energy   -1.77 eV/atom
Crystal system   cubic
E   -37.96 eV/f.u.
Magnetic moment   0.00 μB per cell
Symmetry   Fm-3m

```
Rb2LiDyBr6
1.0
-3.0279 0.4433 7.0204
3.8451 -2.7808 6.0111
3.0038 4.7847 5.1706
Br Dy Rb Li
6 1 2 1
Direct
0.2535 0.7465 0.2535 Br
0.2535 0.2535 0.7465 Br
0.7465 0.7465 0.2535 Br
0.7465 0.2535 0.7465 Br
0.2535 0.7465 0.7465 Br
0.7465 0.2535 0.2535 Br
0.0000 0.0000 0.0000 Dy
0.2500 0.2500 0.2500 Rb
0.7500 0.7500 0.7500 Rb
0.5000 0.5000 0.5000 Li
```

---

Density functional theory data (GGA-PBEsol) for Na3DyBr6 after structural relaxation.

Results
Uncorrected formation energy   -1.67 eV/atom
Crystal system   monoclinic
E   -37.05 eV/f.u.
Magnetic moment   0.00 μB per cell
Symmetry   P2_1/c

```
Na3DyBr6
1.0
7.1029 0.0000 0.0492
0.0000 7.6772 0.0000
0.1049 0.0000 10.5884
Br Na Dy
12 6 2
Direct
0.1669 0.3067 0.0790 Br
0.6490 0.4400 0.2592 Br
0.8510 0.9400 0.2408 Br
0.3176 0.8205 0.0694 Br
0.6824 0.1795 0.9306 Br
0.8176 0.6795 0.5694 Br
0.6669 0.1933 0.5790 Br
0.8331 0.6933 0.9210 Br
0.1490 0.0600 0.7592 Br
0.3510 0.5600 0.7408 Br
0.1824 0.3205 0.4306 Br
0.3331 0.8067 0.4210 Br
0.0378 0.5944 0.2582 Na
0.5378 0.9056 0.7582 Na
0.5000 0.5000 0.0000 Na
0.4622 0.0944 0.2418 Na
0.9622 0.4056 0.7418 Na
0.0000 0.0000 0.5000 Na
0.5000 0.5000 0.5000 Dy
0.0000 0.0000 0.0000 Dy
```

---

Density functional theory data (GGA-PBEsol) for DyBr3O6 after structural relaxation.

Results
Uncorrected formation energy   -0.66 eV/atom
Crystal system   monoclinic
E   -48.71 eV/f.u.
Magnetic moment   0.00 μB per cell
Symmetry   P2/c

```
DyBr3O6
1.0
5.2583 0.0000 -0.3815
0.0000 6.1091 0.0000
-2.8800 0.0000 11.4783
Br O Dy
6 12 2
Direct
0.2335 0.1834 0.5333 Br
0.2665 0.1834 0.9667 Br
0.7665 0.8166 0.4667 Br
0.7335 0.8166 0.0333 Br
0.2500 0.9548 0.2500 Br
0.7500 0.0452 0.7500 Br
0.5225 0.1277 0.3166 O
0.9179 0.6442 0.5838 O
0.5821 0.6442 0.9162 O
0.8999 0.6492 0.1545 O
0.0225 0.8723 0.8166 O
0.4179 0.3558 0.0838 O
0.4775 0.8723 0.6834 O
0.9775 0.1277 0.1834 O
0.6001 0.6492 0.3455 O
0.3999 0.3508 0.6545 O
0.1001 0.3508 0.8455 O
0.0821 0.3558 0.4162 O
0.7500 0.3830 0.2500 Dy
0.2500 0.6170 0.7500 Dy
```

---

Density functional theory data (GGA-PBEsol) for DySBr after structural relaxation.

Results
Uncorrected formation energy   -2.01 eV/atom
Crystal system   orthorhombic
E   -17.27 eV/f.u.
Magnetic moment   0.00 μB per cell
Symmetry   Pmmn

```
DySBr
1.0
-2.5591 1.6853 -2.5817
0.1116 -4.3920 -2.9775
-6.5247 -3.1544 4.4084
Dy S Br
2 2 2
Direct
0.0000 0.0000 0.1333 Dy
0.5000 0.5000 0.8667 Dy
0.5000 0.0000 0.9178 S
0.0000 0.5000 0.0822 S
0.0000 0.5000 0.6377 Br
0.5000 0.0000 0.3623 Br
```

---

Density functional theory data (GGA-PBEsol) for Li3ErBr6 after structural relaxation.

Results
Uncorrected formation energy   -1.67 eV/atom
Crystal system   monoclinic
Excess energy over the best structure of this formula in the dataset   0.000 eV per atom
E   -38.75 eV/f.u.
Magnetic moment   0.00 μB per cell
Symmetry   C2

```
Li3ErBr6
1.0
6.7526 -0.0079 -0.0061
-3.3541 5.8607 -0.0061
-1.1397 -1.9628 6.3626
Br Li Er
6 3 1
Direct
0.7509 0.7409 0.2418 Br
0.5769 0.9192 0.7624 Br
0.4064 0.0732 0.2513 Br
0.0808 0.4231 0.2376 Br
0.2591 0.2491 0.7582 Br
0.9268 0.5936 0.7487 Br
0.3281 0.6719 0.0000 Li
0.1600 0.8400 0.5000 Li
0.6681 0.3319 0.0000 Li
0.9978 0.0022 0.0000 Er
```